(1)
Density functional theory data (GGA-PBEsol) for a geometry-optimized Eu2TaAlO6 structure.

Lattice parameters (Å, degrees): 5.4790 5.4790 5.4790 60.00 60.00 60.00
Fractional coordinates of all 10 atoms:
Eu 0.2500 0.2500 0.2500
Eu 0.7500 0.7500 0.7500
O 0.7559 0.2441 0.2441
O 0.2441 0.2441 0.7559
O 0.2441 0.7559 0.7559
O 0.2441 0.7559 0.2441
O 0.7559 0.7559 0.2441
O 0.7559 0.2441 0.7559
Al 0.0000 0.0000 0.0000
Ta 0.5000 0.5000 0.5000

Calculated values
Energy relative to the elements, uncorrected   -3.096 eV per atom
DOS(E_F)   15.68 states/eV per cell
Crystal system   cubic
Space-group type   No. 225


(2)
Density functional theory data (GGA-PBEsol) for a geometry-optimized InHRu3 structure.

Lattice parameters (Å, degrees): 4.8699 4.8699 4.8699 90.00 90.00 90.00
Fractional coordinates of all 5 atoms:
Ru 0.0000 0.5000 0.0000
Ru 0.5000 0.0000 0.0000
Ru 0.0000 0.0000 0.5000
H 0.5000 0.5000 0.5000
In 0.0000 0.0000 0.0000

Calculated values
Electronic total energy   -4.45 eV/atom
DOS(E_F)   4.49 states/eV per cell
Crystal system   cubic
Space-group type   No. 221


(3)
Density functional theory data (GGA-PBEsol) for a geometry-optimized BeCuAs2 structure.

Lattice parameters (Å, degrees): 4.3289 4.3289 7.5515 106.66 106.66 90.00
Fractional coordinates of all 8 atoms:
Cu 0.2500 0.7500 0.5000
Cu 0.0000 0.0000 0.0000
As 0.8601 0.3750 0.2500
As 0.3899 0.8750 0.2500
As 0.6250 0.6101 0.7500
As 0.1250 0.1399 0.7500
Be 0.5000 0.5000 0.0000
Be 0.7500 0.2500 0.5000

Calculated values
DOS(E_F)   2.45 states/eV per cell
ΔE_f   0.120 eV/atom
Crystal system   tetragonal
Space-group type   No. 122


(4)
Density functional theory data (GGA-PBEsol) for a geometry-optimized CaAl2Hg structure.

Lattice parameters (Å, degrees): 3.5214 3.5214 7.1162 90.00 90.00 92.64
Fractional coordinates of all 4 atoms:
Al 0.0000 0.0000 0.7993
Al 0.0000 0.0000 0.2007
Hg 0.5000 0.5000 0.0000
Ca 0.5000 0.5000 0.5000

Calculated values
DOS(E_F)   1.65 states/eV per cell
ΔE_f   -0.094 eV/atom
Crystal system   orthorhombic
Space-group type   No. 65


(5)
Density functional theory data (GGA-PBEsol) for a geometry-optimized NaTlRe2 structure.

Lattice parameters (Å, degrees): 4.5642 4.5642 4.5642 60.00 60.00 60.00
Fractional coordinates of all 4 atoms:
Na 0.0000 0.0000 0.0000
Re 0.2500 0.2500 0.2500
Re 0.7500 0.7500 0.7500
Tl 0.5000 0.5000 0.5000

Calculated values
DOS(E_F)   6.02 states/eV per cell
ΔE_f   1.720 eV/atom
Crystal system   cubic
Space-group type   No. 225


(6)
Density functional theory data (GGA-PBEsol) for a geometry-optimized Mg2Si2Pt structure.

Lattice parameters (Å, degrees): 4.3528 6.1855 6.1855 90.00 90.00 90.00
Fractional coordinates of all 10 atoms:
Mg 0.5000 0.3244 0.1756
Mg 0.5000 0.6756 0.8244
Mg 0.5000 0.1756 0.6756
Mg 0.5000 0.8244 0.3244
Si 0.0000 0.8662 0.6338
Si 0.0000 0.3662 0.8662
Si 0.0000 0.1338 0.3662
Si 0.0000 0.6338 0.1338
Pt 0.0000 0.5000 0.5000
Pt 0.0000 0.0000 0.0000

Calculated values
Energy relative to the elements, uncorrected   -0.513 eV per atom
DOS(E_F)   2.68 states/eV per cell
Crystal system   tetragonal
Space-group type   No. 127


(7)
Density functional theory data (GGA-PBEsol) for a geometry-optimized ReSe2Br structure.

Lattice parameters (Å, degrees): 2.6619 3.2327 9.8768 90.00 90.17 90.00
Fractional coordinates of all 4 atoms:
Br 0.5000 0.5000 0.5000
Se 0.0026 0.0000 0.1947
Se 0.9974 0.0000 0.8053
Re 0.0000 0.5000 0.0000

Calculated values
Energy relative to the elements, uncorrected   0.145 eV per atom
DOS(E_F)   1.77 states/eV per cell
Offset from the most stable computed form   0 meV/atom
Crystal system   monoclinic
Space-group type   No. 10


(8)
Density functional theory data (GGA-PBEsol) for a geometry-optimized RbGdS2 structure.

Lattice parameters (Å, degrees): 4.0614 4.0614 7.9089 75.12 75.12 60.00
Fractional coordinates of all 4 atoms:
S 0.7685 0.7685 0.6945
S 0.2315 0.2315 0.3055
Gd 0.5000 0.5000 0.5000
Rb 0.0000 0.0000 0.0000

Calculated values
Energy relative to the elements, uncorrected   -1.880 eV per atom
DOS(E_F)   0.00 states/eV per cell
Crystal system   trigonal
Space-group type   No. 166


(9)
Density functional theory data (GGA-PBEsol) for a geometry-optimized ZrSc2In structure.

Lattice parameters (Å, degrees): 3.1860 4.3232 6.3813 90.00 90.00 90.00
Fractional coordinates of all 4 atoms:
Sc 0.0000 0.0000 0.2464
Sc 0.0000 0.0000 0.7536
In 0.5000 0.5000 0.5000
Zr 0.5000 0.5000 0.0000

Calculated values
DOS(E_F)   4.58 states/eV per cell
ΔE_f   -0.240 eV/atom
Crystal system   orthorhombic
Space-group type   No. 47


(10)
Density functional theory data (GGA-PBEsol) for a geometry-optimized PrNi2P2 structure.

Lattice parameters (Å, degrees): 3.9241 3.9241 5.4795 110.98 110.98 90.00
Fractional coordinates of all 5 atoms:
Ni 0.2500 0.7500 0.5000
Ni 0.7500 0.2500 0.5000
P 0.3709 0.3709 0.7417
P 0.6291 0.6291 0.2583
Pr 0.0000 0.0000 0.0000

Calculated values
DOS(E_F)   1.79 states/eV per cell
ΔE_f   -1.059 eV/atom
Crystal system   tetragonal
Space-group type   No. 139


(11)
Density functional theory data (GGA-PBEsol) for a geometry-optimized YCd2I structure.

Lattice parameters (Å, degrees): 5.3681 5.3681 5.3681 60.00 60.00 60.00
Fractional coordinates of all 4 atoms:
Cd 0.7500 0.7500 0.7500
Cd 0.2500 0.2500 0.2500
Y 0.0000 0.0000 0.0000
I 0.5000 0.5000 0.5000

Calculated values
Energy relative to the elements, uncorrected   0.107 eV per atom
DOS(E_F)   3.48 states/eV per cell
Crystal system   cubic
Space-group type   No. 225


(12)
Density functional theory data (GGA-PBEsol) for a geometry-optimized Mg3CdN structure.

Lattice parameters (Å, degrees): 4.3274 4.3274 4.3274 90.00 90.00 90.00
Fractional coordinates of all 5 atoms:
Mg 0.0000 0.0000 0.5000
Mg 0.5000 0.0000 0.0000
Mg 0.0000 0.5000 0.0000
N 0.0000 0.0000 0.0000
Cd 0.5000 0.5000 0.5000

Calculated values
Energy relative to the elements, uncorrected   -0.391 eV per atom
DOS(E_F)   1.51 states/eV per cell
Crystal system   cubic
Space-group type   No. 221


Size of the total moment for every record listed, in sequence, given in μB per cell: 14.0; 6.0; 0.0; 0.0; 0.0; 0.0; 0.0; 7.0; 0.0; 0.0; 0.0; 0.0.